1 | Density functional theory data (GGA-PBE) for an optimized crystal structure of ScNiBPt.

Summary:
Density: 9.86 Mg/m³

a = 4.1932 Å, b = 4.1932 Å, c = 4.1932 Å
α = 60.00°, β = 60.00°, γ = 60.00°
Atoms (fractional coordinates):
B 0.0000 0.0000 0.0000
Ni 0.5000 0.5000 0.5000
Pt 0.2500 0.2500 0.2500
Sc 0.7500 0.7500 0.7500

---

2 | Density functional theory data (GGA-PBE) for an optimized crystal structure of ScNiBPt.

Summary:
Density: 9.83 Mg/m³

a = 4.1972 Å, b = 4.1972 Å, c = 4.1972 Å
α = 60.00°, β = 60.00°, γ = 60.00°
Atoms (fractional coordinates):
B 0.0000 0.0000 0.0000
Ni 0.7500 0.7500 0.7500
Pt 0.2500 0.2500 0.2500
Sc 0.5000 0.5000 0.5000

---

Most stable = 1

---

1 | Density functional theory data (GGA-PBE) for an optimized crystal structure of TcNiBPt.

Summary:
Density: 12.83 Mg/m³

a = 4.0487 Å, b = 4.0487 Å, c = 4.0487 Å
α = 60.00°, β = 60.00°, γ = 60.00°
Atoms (fractional coordinates):
B 0.0000 0.0000 0.0000
Ni 0.5000 0.5000 0.5000
Pt 0.2500 0.2500 0.2500
Tc 0.7500 0.7500 0.7500

---

2 | Density functional theory data (GGA-PBE) for an optimized crystal structure of TcNiBPt.

Summary:
Density: 12.19 Mg/m³

a = 4.1181 Å, b = 4.1181 Å, c = 4.1181 Å
α = 60.00°, β = 60.00°, γ = 60.00°
Atoms (fractional coordinates):
B 0.0000 0.0000 0.0000
Ni 0.7500 0.7500 0.7500
Pt 0.5000 0.5000 0.5000
Tc 0.2500 0.2500 0.2500

---

Most stable = 1